1.
4
Lattice="-2.940 7.911 -2.350 -5.565 6.566 -1.635 -3.871 7.841 0.537" Properties=species:S:1:pos:R:3 comment="Ta2ZnTc PBE relaxed" n_ef_per_ev_cell=4.026 pbc="T T T"
Ta -0.004 0.006 -0.001
Ta -3.023 5.451 -0.842
Tc -6.205 11.190 -1.729
Zn -9.332 16.828 -2.600

2.
4
Lattice="2.693 -0.008 0.000 -0.653 2.613 0.000 0.000 0.000 8.784" Properties=species:S:1:pos:R:3 comment="TaZn2Tc PBE relaxed" n_ef_per_ev_cell=2.068 e_above_lowest_polymorph_ev_per_atom=0.1800 pbc="T T T"
Ta 1.020 1.302 2.196
Tc 1.020 1.302 6.588
Zn 0.000 0.000 8.700
Zn 0.000 0.000 4.477

3.
4
Lattice="-2.561 -0.999 -3.582 1.901 -1.672 -3.739 -0.690 -4.311 -1.149" Properties=species:S:1:pos:R:3 comment="Ta2ZnTc PBE relaxed" n_ef_per_ev_cell=4.518 pbc="T T T"
Ta 0.000 0.000 0.000
Ta -0.338 -1.746 -2.117
Tc -0.675 -3.491 -4.235
Zn -1.013 -5.237 -6.352

4.
4
Lattice="-2.474 -0.474 1.233 1.427 -2.411 -0.142 3.633 1.683 7.937" Properties=species:S:1:pos:R:3 comment="Ta2ZnTc PBE relaxed" n_ef_per_ev_cell=3.599 pbc="T T T"
Ta 3.617 1.676 7.902
Ta 0.434 -0.999 2.637
Tc 1.822 0.844 3.981
Zn 2.162 -0.198 6.413

5.
4
Lattice="2.762 0.000 0.000 0.000 2.762 0.000 0.000 0.000 8.654" Properties=species:S:1:pos:R:3 comment="Ta2ZnTc PBE relaxed" n_ef_per_ev_cell=4.159 pbc="T T T"
Ta 0.000 0.000 8.547
Ta 1.381 1.381 2.231
Tc 0.000 0.000 4.454
Zn 1.381 1.381 6.403

6.
4
Lattice="-1.363 -2.996 -0.609 1.530 -1.245 2.704 -4.274 1.329 3.030" Properties=species:S:1:pos:R:3 comment="TaZn2Tc PBE relaxed" n_ef_per_ev_cell=1.488 e_above_lowest_polymorph_ev_per_atom=0.1587 pbc="T T T"
Ta -0.985 -1.788 1.805
Tc -3.122 -1.124 3.320
Zn -4.215 1.311 2.988
Zn -2.196 0.683 1.557

7.
4
Lattice="-4.302 2.930 1.100 -5.182 -0.173 1.188 -0.926 0.387 4.364" Properties=species:S:1:pos:R:3 comment="Ta2ZnTc PBE relaxed" n_ef_per_ev_cell=3.223 pbc="T T T"
Ta -0.958 0.396 4.357
Ta -7.925 2.390 4.963
Tc -5.150 1.556 3.334
Zn -2.509 0.760 1.689

8.
4
Lattice="3.291 0.000 0.000 0.000 3.291 0.000 0.000 0.000 5.829" Properties=species:S:1:pos:R:3 comment="TaZn2Tc PBE relaxed" n_ef_per_ev_cell=2.397 e_above_lowest_polymorph_ev_per_atom=0.0000 pbc="T T T"
Ta 0.000 0.000 3.062
Tc 1.646 1.646 4.259
Zn 0.000 0.000 0.082
Zn 1.646 1.646 1.341

9.
4
Lattice="-8.012 0.265 4.826 -8.827 -1.430 2.754 -7.515 -2.484 4.991" Properties=species:S:1:pos:R:3 comment="TaZn2Tc PBE relaxed" n_ef_per_ev_cell=2.658 e_above_lowest_polymorph_ev_per_atom=0.1984 pbc="T T T"
Ta -6.088 -0.912 3.143
Tc -18.265 -2.737 9.428
Zn -0.107 -0.016 0.055
Zn -12.069 -1.809 6.230

10.
4
Lattice="-0.142 3.231 -0.149 -3.165 -0.170 -0.662 -1.277 0.223 6.049" Properties=species:S:1:pos:R:3 comment="Ta2ZnTc PBE relaxed" n_ef_per_ev_cell=1.263 pbc="T T T"
Ta -0.005 0.001 0.026
Ta -0.633 0.110 2.999
Tc -1.973 1.586 1.107
Zn -2.612 1.698 4.132

11.
4
Lattice="4.444 0.000 0.000 0.000 2.789 -0.036 0.000 0.921 4.944" Properties=species:S:1:pos:R:3 comment="TaZnTc2 PBE relaxed" n_ef_per_ev_cell=3.297 pbc="T T T"
Ta 2.222 2.913 3.575
Tc 0.000 2.752 0.124
Tc 2.222 1.162 1.090
Zn 0.000 1.525 2.537

12.
4
Lattice="5.454 0.001 0.003 -2.449 4.640 0.001 0.557 0.781 2.579" Properties=species:S:1:pos:R:3 comment="Ta2ZnTc PBE relaxed" n_ef_per_ev_cell=2.533 pbc="T T T"
Ta 0.000 0.000 0.000
Ta 3.005 0.391 1.291
Tc -0.946 2.710 1.290
Zn 1.503 2.320 0.002

13.
4
Lattice="-1.872 -1.073 -3.682 0.632 -2.686 0.461 -4.301 -1.385 2.590" Properties=species:S:1:pos:R:3 comment="TaZn2Tc PBE relaxed" n_ef_per_ev_cell=2.016 e_above_lowest_polymorph_ev_per_atom=0.0059 pbc="T T T"
Ta -1.807 -2.105 1.532
Tc -3.730 -3.551 0.458
Zn -4.206 -1.747 2.648
Zn -1.932 -1.163 -1.152

14.
4
Lattice="3.301 0.000 0.000 0.000 3.301 0.000 0.000 0.000 5.962" Properties=species:S:1:pos:R:3 comment="Ta2ZnTc PBE relaxed" n_ef_per_ev_cell=1.686 pbc="T T T"
Ta 0.000 0.000 5.846
Ta 1.650 1.650 1.571
Tc 0.000 0.000 3.078
Zn 1.650 1.650 4.408

15.
4
Lattice="2.769 -0.008 0.000 -0.928 2.609 0.000 0.000 0.000 8.621" Properties=species:S:1:pos:R:3 comment="TaZnTc2 PBE relaxed" n_ef_per_ev_cell=2.669 pbc="T T T"
Ta 0.920 1.300 6.465
Tc 0.000 0.000 0.005
Tc 0.000 0.000 4.305
Zn 0.920 1.300 2.155

| no. | ΔH_f (0 K) (eV/atom) |
| --- | --- |
| 1 | 0.14 |
| 2 | 0.15 |
| 3 | 0.10 |
| 4 | 0.01 |
| 5 | 0.15 |
| 6 | 0.12 |
| 7 | -0.05 |
| 8 | -0.03 |
| 9 | 0.16 |
| 10 | -0.12 |
| 11 | 0.00 |
| 12 | 0.00 |
| 13 | -0.03 |
| 14 | -0.09 |
| 15 | -0.01 |